Here is crystalline Ho3Zn2In4 at its relaxed geometry from Alexandria. Energies are from PBE.

abc: 5.961 5.961 9.034
angles: 113.87 113.87 46.98
Sites, in units of the cell vectors:
Ho (0.000, 0.000, 0.000)
Ho (0.334, 0.334, 0.337)
Ho (0.666, 0.666, 0.663)
Zn (0.387, 0.387, 0.717)
Zn (0.613, 0.613, 0.283)
In (0.057, 0.057, 0.383)
In (0.283, 0.283, 0.936)
In (0.717, 0.717, 0.064)
In (0.943, 0.943, 0.617)

Results
The density of states at the Fermi level comes out at 5.1 states/eV/f.u. The density comes out at 8.6 Mg/m³. Its space group is C2/m, No. 12.

Here is crystalline RbInPtW2 at its relaxed geometry from Alexandria. Energies are from PBE.

abc: 5.340 5.340 5.105
angles: 90.00 90.00 90.00
Sites, in units of the cell vectors:
Rb (0.000, 0.000, 0.000)
In (0.500, 0.500, 0.500)
Pt (0.500, 0.500, 0.000)
W (0.000, 0.500, 0.500)
W (0.500, 0.000, 0.500)

Results
The density of states at the Fermi level comes out at 5.0 states/eV/f.u. The density comes out at 8.7 Mg/m³. Its space group is P4/mmm, No. 123.

Here is crystalline ZrCr2Re at its relaxed geometry from Alexandria. Energies are from PBE.

abc: 2.779 4.276 5.107
angles: 90.00 100.39 90.00
Sites, in units of the cell vectors:
Zr (0.000, 0.000, 0.000)
Cr (0.508, 0.000, 0.492)
Cr (0.747, 0.500, 0.256)
Re (0.256, 0.500, 0.718)

Results
The density of states at the Fermi level comes out at 2.7 states/eV/f.u. The density comes out at 10.6 Mg/m³. Its space group is Pm, No. 6.

Here is crystalline LiZn2Au at its relaxed geometry from Alexandria. Energies are from PBE.

abc: 3.329 3.329 5.568
angles: 90.00 90.00 90.00
Sites, in units of the cell vectors:
Li (0.000, 0.000, 0.000)
Zn (0.500, 0.500, 0.242)
Zn (0.500, 0.500, 0.758)
Au (0.000, 0.000, 0.500)

Results
The density of states at the Fermi level comes out at 0.9 states/eV/f.u. The density comes out at 9.0 Mg/m³. Its space group is P4/mmm, No. 123.

For reference, magnetization by record: 0.000, 7.336, 0.000, 0.000 μB/f.u..
For reference, formation energy from the elements by record: -0.4050, 2.2618, 0.1641, -0.2600 eV per atom.